A relaxed LaNdGa6 crystal, computed with GGA-PBE.

Cell lengths 6.557, 6.557, 4.554 Å; angles 90.00, 90.00, 120.00 degrees
Sites, in units of the cell vectors:
La 0.000 0.000 0.000
Nd 0.667 0.333 0.500
Ga 0.048 0.524 0.000
Ga 0.192 0.384 0.500
Ga 0.192 0.808 0.500
Ga 0.476 0.524 0.000
Ga 0.476 0.952 0.000
Ga 0.616 0.808 0.500

Computed properties:
Its space group is P-6m2, No. 187. The value obtained for the raw total energy is -4.076 eV per atom. The calculated volume is 21.19 A^3/atom.